Record 1
Here is a relaxed Cs2CeO3 crystal from the Alexandria database. Energies are from PBE.

Results
Fermi-level density of states (states/eV per cell): 0.000
ΔE_f (raw) (eV/atom): -2.286

a b c (Å): 7.7054 15.0827 6.8279
angles (deg): 90.00 116.27 90.00
With the nearest neighbours (Å) after each atom.
Atoms (fractional coordinates):
Cs1 0.1797 0.1032 0.1171  4 O 2.99-3.17
Cs2 0.1797 0.3968 0.6171  4 O 2.99-3.17
Cs3 0.1841 0.6015 0.0643  4 O 2.99-3.16
Cs4 0.1841 0.8985 0.5643  4 O 2.99-3.16
Cs5 0.8159 0.1015 0.4357  4 O 2.99-3.16
Cs6 0.8159 0.3985 0.9357  4 O 2.99-3.16
Cs7 0.8203 0.6032 0.3829  4 O 2.99-3.17
Cs8 0.8203 0.8968 0.8829  4 O 2.99-3.17
Ce1 0.4990 0.1626 0.7759  4 O 2.05-2.23
Ce2 0.4990 0.3374 0.2759  4 O 2.05-2.23
Ce3 0.5010 0.6626 0.7241  4 O 2.05-2.23
Ce4 0.5010 0.8374 0.2241  4 O 2.05-2.23
O1 0.2462 0.0943 0.6089  1 Ce 2.05
O2 0.2462 0.4057 0.1089  1 Ce 2.05
O3 0.2513 0.5919 0.6405  1 Ce 2.05
O4 0.2513 0.9081 0.1405  1 Ce 2.05
O5 0.5005 0.2211 0.0752  2 Ce 2.22-2.23
O6 0.5005 0.2789 0.5752  2 Ce 2.22-2.23
O7 0.4995 0.7211 0.4248  2 Ce 2.22-2.23
O8 0.4995 0.7789 0.9248  2 Ce 2.22-2.23
O9 0.7487 0.0919 0.8595  1 Ce 2.05
O10 0.7487 0.4081 0.3595  1 Ce 2.05
O11 0.7538 0.5943 0.8911  1 Ce 2.05
O12 0.7538 0.9057 0.3911  1 Ce 2.05

Record 2
Here is a relaxed Cs3CeO4 crystal from the Alexandria database. Energies are from PBE.

Results
Fermi-level density of states (states/eV per cell): 2.516
ΔE_f (raw) (eV/atom): -1.860

a b c (Å): 7.0495 7.0495 7.0495
angles (deg): 120.57 90.44 118.93
With the nearest neighbours (Å) after each atom.
Atoms (fractional coordinates):
Cs1 0.0000 0.0000 0.0000  4 O 2.80-3.12
Cs2 0.3128 0.5364 0.7764  3 O 2.88-3.07
Cs3 0.7600 0.5364 0.2236  3 O 2.88-3.07
Ce1 0.5357 0.0357 0.5000  4 O 2.07
O1 0.2293 0.9201 0.3092  1 Ce 2.07
O2 0.6109 0.9201 0.6908  1 Ce 2.07
O3 0.6975 0.4436 0.7461  1 Ce 2.07
O4 0.6975 0.9515 0.2539  1 Ce 2.07

Record 3
Here is a relaxed CsCeOsO6 crystal from the Alexandria database. Energies are from PBE.

Results
Fermi-level density of states (states/eV per cell): 9.196
ΔE_f (raw) (eV/atom): -1.893

a b c (Å): 7.7786 7.7786 7.7786
angles (deg): 122.54 118.33 89.29
With the nearest neighbours (Å) after each atom.
Atoms (fractional coordinates):
Cs1 0.3651 0.1151 0.2500  12 O 3.37-3.77
Cs2 0.6349 0.8849 0.7500  12 O 3.37-3.77
Ce1 0.0000 0.5000 0.5000  6 O 2.16-2.31
Ce2 0.5000 0.5000 0.0000  6 O 2.16-2.31
Os1 0.0000 0.0000 0.5000  6 O 1.88-1.90
Os2 0.0000 0.5000 0.0000  6 O 1.88-1.90
O1 0.0279 0.7779 0.2500  2 Os 1.90
O2 0.0483 0.4080 0.1939  1 Os 1.88
O3 0.0483 0.8544 0.6403  1 Os 1.88
O4 0.2859 0.1456 0.6939  1 Os 1.88
O5 0.2859 0.5920 0.1403  1 Os 1.88
O6 0.3247 0.5747 0.7500  2 Ce 2.16
O7 0.6753 0.4253 0.2500  2 Ce 2.16
O8 0.7141 0.4080 0.8597  1 Os 1.88
O9 0.7141 0.8544 0.3061  1 Os 1.88
O10 0.9517 0.1456 0.3597  1 Os 1.88
O11 0.9517 0.5920 0.8061  1 Os 1.88
O12 0.9721 0.2221 0.7500  2 Os 1.90

Record 4
Here is a relaxed Cs3CeP2O8 crystal from the Alexandria database. Energies are from PBE.

Results
Fermi-level density of states (states/eV per cell): 1.319
ΔE_f (raw) (eV/atom): -2.511

a b c (Å): 5.9630 5.9630 8.7298
angles (deg): 90.00 90.00 120.00
With the nearest neighbours (Å) after each atom.
Atoms (fractional coordinates):
Cs1 0.0000 0.0000 0.0000  12 O 3.57-3.59
Cs2 0.3333 0.6667 0.7676  7 O 2.96-3.15
Cs3 0.6667 0.3333 0.2324  7 O 2.96-3.15
Ce1 0.0000 0.0000 0.5000  6 O 2.39
P1 0.3333 0.6667 0.2831  4 O 1.54-1.57
P2 0.6667 0.3333 0.7169  4 O 1.54-1.57
O1 0.1904 0.3808 0.3445  1 P 1.57
O2 0.1904 0.8096 0.3445  1 P 1.57
O3 0.3333 0.6667 0.1071  1 P 1.54
O4 0.3808 0.1904 0.6555  1 P 1.57
O5 0.6192 0.8096 0.3445  1 P 1.57
O6 0.6667 0.3333 0.8929  1 P 1.54
O7 0.8096 0.1904 0.6555  1 P 1.57
O8 0.8096 0.6192 0.6555  1 P 1.57

Question: What is the formula in the fourth record?
Answer: Cs3CeP2O8

Question: The lowest ΔE_f (raw) belongs to which entry?
Answer: Cs3CeP2O8